[1]
Material: MgMn2Os
Method: DFT, PBE
State: relaxed

Cell: 8.7999 2.6923 4.9440 Å, 90.00 96.43 90.00°
Space group C2/m (No. 12)
Unique sites:
Mg 0.0000 0.0000 0.0000 [2 per cell]
Mn 0.2452 0.0000 0.7318 [4 per cell]
Os 0.0000 0.5000 0.5000 [2 per cell]

Properties
**Formation energy**: 0.34 eV/atom
**N(E_F)**: 9.710 states/eV/cell
**Calculated volume**: 14.5 A^3/atom



[2]
Material: MgMn2Os
Method: DFT, PBE
State: relaxed

Cell: 2.9051 4.4449 4.4466 Å, 90.00 90.00 90.00°
Space group Pmm2 (No. 25)
Unique sites:
Mg 0.0000 0.0000 0.0000 [1 per cell]
Mn 0.5000 0.0000 0.4995 [1 per cell]
Mn 0.5000 0.5000 0.9941 [1 per cell]
Os 0.0000 0.5000 0.4949 [1 per cell]

Properties
**Formation energy**: 0.21 eV/atom
**N(E_F)**: 1.900 states/eV/cell
**Calculated volume**: 14.4 A^3/atom



[3]
Material: MgMnOs3
Method: DFT, PBE
State: relaxed

Cell: 4.4452 4.4452 4.4452 Å, 90.00 90.00 90.00°
Space group Pm-3m (No. 221)
Unique sites:
Mg 0.0000 0.0000 0.0000 [1 per cell]
Mn 0.5000 0.5000 0.5000 [1 per cell]
Os 0.0000 0.5000 0.5000 [3 per cell]

Properties
**Formation energy**: 1.36 eV/atom
**N(E_F)**: 4.889 states/eV/cell
**Energy relative to the lowest polymorph listed for this composition**: 0 meV/atom
**Calculated volume**: 17.6 A^3/atom



[4]
Material: MgMn2Os
Method: DFT, PBE
State: relaxed

Cell: 6.9881 6.9881 5.2755 Å, 90.00 90.00 90.00°
Space group I-42d (No. 122)
Unique sites:
Mg 0.0000 0.0000 0.0000 [4 per cell]
Mn 0.2084 0.2500 0.6250 [8 per cell]
Os 0.0000 0.0000 0.5000 [4 per cell]

Properties
**Formation energy**: 0.69 eV/atom
**N(E_F)**: 19.743 states/eV/cell
**Calculated volume**: 16.1 A^3/atom



[5]
Material: MgMn2Os
Method: DFT, PBE
State: relaxed

Cell: 9.7614 2.8629 4.3740 Å, 90.00 116.48 90.00°
Space group Cm (No. 8)
Unique sites:
Mg 0.0000 0.0000 0.0000 [2 per cell]
Mn 0.9999 0.5000 0.4998 [2 per cell]
Mn 0.2674 0.5000 0.2674 [2 per cell]
Os 0.2309 0.0000 0.7305 [2 per cell]

Properties
**Formation energy**: 0.23 eV/atom
**N(E_F)**: 7.792 states/eV/cell
**Calculated volume**: 13.7 A^3/atom



[6]
Material: MgMn2Os
Method: DFT, PBE
State: relaxed

Cell: 3.1352 4.2700 8.2625 Å, 90.00 90.00 90.00°
Space group Immm (No. 71)
Unique sites:
Mg 0.0000 0.0000 0.0000 [2 per cell]
Mn 0.0000 0.5000 0.2355 [4 per cell]
Os 0.0000 0.0000 0.5000 [2 per cell]

Properties
**Formation energy**: 0.32 eV/atom
**N(E_F)**: 8.798 states/eV/cell
**Calculated volume**: 13.8 A^3/atom



[7]
Material: MgMn3Os
Method: DFT, PBE
State: relaxed

Cell: 4.7444 4.7444 4.7444 Å, 90.00 90.00 90.00°
Space group Pm-3m (No. 221)
Unique sites:
Mg 0.0000 0.0000 0.0000 [1 per cell]
Mn 0.0000 0.5000 0.5000 [3 per cell]
Os 0.5000 0.5000 0.5000 [1 per cell]

Properties
**Formation energy**: 1.04 eV/atom
**N(E_F)**: 6.576 states/eV/cell
**Energy relative to the lowest polymorph listed for this composition**: 0 meV/atom
**Calculated volume**: 21.4 A^3/atom



[8]
Material: MgMn2Os
Method: DFT, PBE
State: relaxed

Cell: 2.9949 4.3742 8.4433 Å, 90.00 90.00 90.00°
Space group Cmm2 (No. 35)
Unique sites:
Mg 0.0000 0.0000 0.0000 [2 per cell]
Mn 0.0000 0.0000 0.5139 [2 per cell]
Mn 0.0000 0.5000 0.7320 [2 per cell]
Os 0.0000 0.5000 0.2756 [2 per cell]

Properties
**Formation energy**: 0.35 eV/atom
**N(E_F)**: 8.646 states/eV/cell
**Calculated volume**: 13.8 A^3/atom



[9]
Material: MgMn2Os
Method: DFT, PBE
State: relaxed

Cell: 2.8840 2.8840 7.0512 Å, 90.00 90.00 90.00°
Space group P4mm (No. 99)
Unique sites:
Mg 0.0000 0.0000 0.0000 [1 per cell]
Mn 0.0000 0.0000 0.5228 [1 per cell]
Mn 0.5000 0.5000 0.2962 [1 per cell]
Os 0.5000 0.5000 0.7246 [1 per cell]

Properties
**Formation energy**: 0.18 eV/atom
**N(E_F)**: 2.788 states/eV/cell
**Calculated volume**: 14.7 A^3/atom



[10]
Material: MgMn2Os2
Method: DFT, PBE
State: relaxed

Cell: 7.3402 7.3402 2.6744 Å, 90.00 90.00 90.00°
Space group P4/mbm (No. 127)
Unique sites:
Mg 0.0000 0.0000 0.0000 [2 per cell]
Mn 0.1644 0.3356 0.5000 [4 per cell]
Os 0.1279 0.6279 0.0000 [4 per cell]

Properties
**Formation energy**: 0.18 eV/atom
**N(E_F)**: 6.910 states/eV/cell
**Energy relative to the lowest polymorph listed for this composition**: 18 meV/atom
**Calculated volume**: 14.4 A^3/atom



[11]
Material: MgMn2Os
Method: DFT, PBE
State: relaxed

Cell: 2.7920 3.6748 5.5684 Å, 90.00 90.00 90.00°
Space group Pmmm (No. 47)
Unique sites:
Mg 0.0000 0.0000 0.0000 [1 per cell]
Mn 0.5000 0.5000 0.2816 [2 per cell]
Os 0.0000 0.0000 0.5000 [1 per cell]

Properties
**Formation energy**: 0.24 eV/atom
**N(E_F)**: 3.985 states/eV/cell
**Calculated volume**: 14.3 A^3/atom



[12]
Material: MgMn2Os
Method: DFT, PBE
State: relaxed

Cell: 2.7770 2.7770 26.5749 Å, 90.00 90.00 120.00°
Space group R-3m (No. 166, hexagonal axes)
Unique sites:
Mg 0.0000 0.0000 0.0000 [3 per cell]
Mn 0.0000 0.0000 0.2451 [6 per cell]
Os 0.0000 0.0000 0.5000 [3 per cell]

Properties
**Formation energy**: 0.30 eV/atom
**N(E_F)**: 10.478 states/eV/cell
**Calculated volume**: 14.8 A^3/atom